(1)
# BeIrOs2 (PBE, optimized geometry)
data_BeIrOs2
_chemical_formula_sum 'Be4 Ir4 Os8'
_cell_length_a 3.703
_cell_length_b 3.703
_cell_length_c 17.204
_cell_angle_alpha 90.00
_cell_angle_beta 90.00
_cell_angle_gamma 90.00
_symmetry_space_group_name_H-M 'P 1'
_symmetry_Int_Tables_number 1
_symmetry_space_group_name_Hall 'P 1'
loop_
_atom_site_label
_atom_site_type_symbol
_atom_site_fract_x
_atom_site_fract_y
_atom_site_fract_z
Be1 Be 0.000 0.000 0.000
Be2 Be 0.000 0.500 0.250
Be3 Be 0.500 0.000 0.750
Be4 Be 0.500 0.500 0.500
Ir1 Ir 0.000 0.000 0.500
Ir2 Ir 0.000 0.500 0.750
Ir3 Ir 0.500 0.000 0.250
Ir4 Ir 0.500 0.500 0.000
Os1 Os 0.210 0.250 0.125
Os2 Os 0.250 0.710 0.375
Os3 Os 0.250 0.790 0.875
Os4 Os 0.290 0.250 0.625
Os5 Os 0.710 0.750 0.625
Os6 Os 0.750 0.210 0.875
Os7 Os 0.750 0.290 0.375
Os8 Os 0.790 0.750 0.125
# Density = 16.4 g cm⁻³
# Total moment = 0.0 μB per formula unit
# Calculated formation energy = 58.62 kJ/mol of atoms
# Space-group type = I-42d (122)

=====

(2)
# BeIrOs2 (PBE, optimized geometry)
data_BeIrOs2
_chemical_formula_sum 'Be3 Ir3 Os6'
_cell_length_a 2.724
_cell_length_b 2.724
_cell_length_c 24.783
_cell_angle_alpha 90.00
_cell_angle_beta 90.00
_cell_angle_gamma 120.00
_symmetry_space_group_name_H-M 'P 1'
_symmetry_Int_Tables_number 1
_symmetry_space_group_name_Hall 'P 1'
loop_
_atom_site_label
_atom_site_type_symbol
_atom_site_fract_x
_atom_site_fract_y
_atom_site_fract_z
Be1 Be 0.000 0.000 0.000
Be2 Be 0.333 0.667 0.667
Be3 Be 0.667 0.333 0.333
Ir1 Ir 0.000 0.000 0.742
Ir2 Ir 0.333 0.667 0.408
Ir3 Ir 0.667 0.333 0.075
Os1 Os 0.000 0.000 0.254
Os2 Os 0.000 0.000 0.500
Os3 Os 0.333 0.667 0.166
Os4 Os 0.333 0.667 0.920
Os5 Os 0.667 0.333 0.587
Os6 Os 0.667 0.333 0.833
# Density = 18.2 g cm⁻³
# Total moment = 0.0 μB per formula unit
# Calculated formation energy = 7.01 kJ/mol of atoms
# Space-group type = R3m (160)

=====

(3)
# Be2IrOs (PBE, optimized geometry)
data_Be2IrOs
_chemical_formula_sum 'Be2 Ir1 Os1'
_cell_length_a 2.656
_cell_length_b 3.630
_cell_length_c 4.891
_cell_angle_alpha 90.00
_cell_angle_beta 90.03
_cell_angle_gamma 90.00
_symmetry_space_group_name_H-M 'P 1'
_symmetry_Int_Tables_number 1
_symmetry_space_group_name_Hall 'P 1'
loop_
_atom_site_label
_atom_site_type_symbol
_atom_site_fract_x
_atom_site_fract_y
_atom_site_fract_z
Be1 Be 0.002 0.000 0.219
Be2 Be 0.998 0.000 0.781
Ir1 Ir 0.000 0.500 0.500
Os1 Os 0.500 0.500 0.000
# Density = 14.1 g cm⁻³
# Energy relative to the lowest polymorph listed for this composition = 0.163 eV/atom
# Total moment = 0.0 μB per formula unit
# Calculated formation energy = -12.35 kJ/mol of atoms
# Space-group type = P2/m (10)

=====

(4)
# BeIrOs2 (PBE, optimized geometry)
data_BeIrOs2
_chemical_formula_sum 'Be2 Ir2 Os4'
_cell_length_a 2.729
_cell_length_b 4.623
_cell_length_c 8.573
_cell_angle_alpha 90.00
_cell_angle_beta 90.00
_cell_angle_gamma 90.00
_symmetry_space_group_name_H-M 'P 1'
_symmetry_Int_Tables_number 1
_symmetry_space_group_name_Hall 'P 1'
loop_
_atom_site_label
_atom_site_type_symbol
_atom_site_fract_x
_atom_site_fract_y
_atom_site_fract_z
Be1 Be 0.000 0.000 0.000
Be2 Be 0.500 0.500 0.000
Ir1 Ir 0.000 0.000 0.500
Ir2 Ir 0.500 0.500 0.500
Os1 Os 0.000 0.500 0.226
Os2 Os 0.000 0.500 0.774
Os3 Os 0.500 0.000 0.226
Os4 Os 0.500 0.000 0.774
# Density = 17.9 g cm⁻³
# Total moment = 0.0 μB per formula unit
# Calculated formation energy = 34.96 kJ/mol of atoms
# Space-group type = Cmmm (65)

=====

(5)
# Be2IrOs (PBE, optimized geometry)
data_Be2IrOs
_chemical_formula_sum 'Be6 Ir3 Os3'
_cell_length_a 2.689
_cell_length_b 2.689
_cell_length_c 23.945
_cell_angle_alpha 90.00
_cell_angle_beta 90.00
_cell_angle_gamma 120.00
_symmetry_space_group_name_H-M 'P 1'
_symmetry_Int_Tables_number 1
_symmetry_space_group_name_Hall 'P 1'
loop_
_atom_site_label
_atom_site_type_symbol
_atom_site_fract_x
_atom_site_fract_y
_atom_site_fract_z
Be1 Be 0.000 0.000 0.000
Be2 Be 0.000 0.000 0.248
Be3 Be 0.333 0.667 0.667
Be4 Be 0.333 0.667 0.915
Be5 Be 0.667 0.333 0.333
Be6 Be 0.667 0.333 0.581
Ir1 Ir 0.000 0.000 0.742
Ir2 Ir 0.333 0.667 0.409
Ir3 Ir 0.667 0.333 0.076
Os1 Os 0.000 0.000 0.503
Os2 Os 0.333 0.667 0.169
Os3 Os 0.667 0.333 0.836
# Density = 13.3 g cm⁻³
# Energy relative to the lowest polymorph listed for this composition = 0.431 eV/atom
# Total moment = 0.0 μB per formula unit
# Calculated formation energy = 13.42 kJ/mol of atoms
# Space-group type = R3m (160)

=====

(6)
# Be2IrOs (PBE, optimized geometry)
data_Be2IrOs
_chemical_formula_sum 'Be4 Ir2 Os2'
_cell_length_a 2.821
_cell_length_b 4.548
_cell_length_c 7.404
_cell_angle_alpha 90.00
_cell_angle_beta 90.00
_cell_angle_gamma 90.00
_symmetry_space_group_name_H-M 'P 1'
_symmetry_Int_Tables_number 1
_symmetry_space_group_name_Hall 'P 1'
loop_
_atom_site_label
_atom_site_type_symbol
_atom_site_fract_x
_atom_site_fract_y
_atom_site_fract_z
Be1 Be 0.000 0.000 0.250
Be2 Be 0.000 0.000 0.750
Be3 Be 0.500 0.500 0.250
Be4 Be 0.500 0.500 0.750
Ir1 Ir 0.000 0.500 0.000
Ir2 Ir 0.500 0.000 0.500
Os1 Os 0.000 0.500 0.500
Os2 Os 0.500 0.000 0.000
# Density = 14.0 g cm⁻³
# Energy relative to the lowest polymorph listed for this composition = 0.224 eV/atom
# Total moment = 0.0 μB per formula unit
# Calculated formation energy = -6.46 kJ/mol of atoms
# Space-group type = Immm (71)

=====

(7)
# Be2IrOs (PBE, optimized geometry)
data_Be2IrOs
_chemical_formula_sum 'Be4 Ir2 Os2'
_cell_length_a 8.597
_cell_length_b 2.704
_cell_length_c 4.127
_cell_angle_alpha 90.00
_cell_angle_beta 108.11
_cell_angle_gamma 90.00
_symmetry_space_group_name_H-M 'P 1'
_symmetry_Int_Tables_number 1
_symmetry_space_group_name_Hall 'P 1'
loop_
_atom_site_label
_atom_site_type_symbol
_atom_site_fract_x
_atom_site_fract_y
_atom_site_fract_z
Be1 Be 0.000 0.000 0.000
Be2 Be 0.234 0.500 0.332
Be3 Be 0.500 0.500 0.000
Be4 Be 0.734 0.000 0.332
Ir1 Ir 0.248 0.000 0.858
Ir2 Ir 0.748 0.500 0.858
Os1 Os 0.488 0.000 0.479
Os2 Os 0.988 0.500 0.479
# Density = 14.6 g cm⁻³
# Energy relative to the lowest polymorph listed for this composition = 0.066 eV/atom
# Total moment = 0.0 μB per formula unit
# Calculated formation energy = -21.75 kJ/mol of atoms
# Space-group type = Cm (8)

=====

(8)
# BeIrOs (PBE, optimized geometry)
data_BeIrOs
_chemical_formula_sum 'Be2 Ir2 Os2'
_cell_length_a 2.781
_cell_length_b 2.781
_cell_length_c 9.410
_cell_angle_alpha 90.00
_cell_angle_beta 90.00
_cell_angle_gamma 90.00
_symmetry_space_group_name_H-M 'P 1'
_symmetry_Int_Tables_number 1
_symmetry_space_group_name_Hall 'P 1'
loop_
_atom_site_label
_atom_site_type_symbol
_atom_site_fract_x
_atom_site_fract_y
_atom_site_fract_z
Be1 Be 0.000 0.000 0.000
Be2 Be 0.500 0.500 0.500
Ir1 Ir 0.000 0.000 0.648
Ir2 Ir 0.500 0.500 0.148
Os1 Os 0.000 0.000 0.349
Os2 Os 0.500 0.500 0.849
# Density = 17.9 g cm⁻³
# Energy relative to the lowest polymorph listed for this composition = 0.000 eV/atom
# Total moment = 0.0 μB per formula unit
# Calculated formation energy = -18.10 kJ/mol of atoms
# Space-group type = I4mm (107)

=====

What did the fourth record say?
# BeIrOs2 (PBE, optimized geometry)
data_BeIrOs2
_chemical_formula_sum 'Be2 Ir2 Os4'
_cell_length_a 2.729
_cell_length_b 4.623
_cell_length_c 8.573
_cell_angle_alpha 90.00
_cell_angle_beta 90.00
_cell_angle_gamma 90.00
_symmetry_space_group_name_H-M 'P 1'
_symmetry_Int_Tables_number 1
_symmetry_space_group_name_Hall 'P 1'
loop_
_atom_site_label
_atom_site_type_symbol
_atom_site_fract_x
_atom_site_fract_y
_atom_site_fract_z
Be1 Be 0.000 0.000 0.000
Be2 Be 0.500 0.500 0.000
Ir1 Ir 0.000 0.000 0.500
Ir2 Ir 0.500 0.500 0.500
Os1 Os 0.000 0.500 0.226
Os2 Os 0.000 0.500 0.774
Os3 Os 0.500 0.000 0.226
Os4 Os 0.500 0.000 0.774
# Density = 17.9 g cm⁻³
# Total moment = 0.0 μB per formula unit
# Calculated formation energy = 34.96 kJ/mol of atoms
# Space-group type = Cmmm (65)